# TlCrAs2

An optimized crystal structure of TlCrAs2 (PBE, the Alexandria database).

## Properties
N(E_F) = 2.1 states/eV/f.u.
Offset from the most stable computed form = 0.13 eV per formula unit

The structure in CIF format:
```
data_TlCrAs2
_chemical_formula_sum 'Tl1 Cr1 As2'
_cell_length_a 3.058
_cell_length_b 3.058
_cell_length_c 8.643
_cell_angle_alpha 90.00
_cell_angle_beta 90.00
_cell_angle_gamma 90.00
_space_group_name_H-M_alt 'P 4/m m m'
_space_group_IT_number 123
_space_group_name_Hall '-P 4 2'
loop_
_atom_site_label
_atom_site_type_symbol
_atom_site_fract_x
_atom_site_fract_y
_atom_site_fract_z
Tl1 Tl 0.000 0.000 0.000
Cr1 Cr 0.000 0.000 0.500
As1 As 0.500 0.500 0.333
```